(1)
The following is a PBE calculation of a relaxed structure of CsTlCd2I6, from Alexandria via LeMat-Bulk.

Results
Raw formation energy (eV/atom): -0.80

abc: 12.433 18.346 10.541
angles: 90.00 102.42 90.00
Space group C2/c (No. 15)
Asymmetric unit:
Cs 0.000 0.061 0.250
Tl 0.000 0.482 0.750
Cd 0.175 0.342 0.452
I 0.043 0.375 0.046
I 0.213 0.029 0.584
I 0.221 0.221 0.299

(2)
The following is a PBE calculation of a relaxed structure of Cs2TlCdI4, from Alexandria via LeMat-Bulk.

Results
Raw formation energy (eV/atom): -0.88

abc: 5.879 18.286 33.762
angles: 90.00 90.00 90.00
Space group Fddd (No. 70, origin choice 2)
Asymmetric unit:
Cs 0.125 0.125 0.282
Tl 0.125 0.125 0.125
Cd 0.125 0.125 0.625
I 0.101 0.263 0.811

(3)
The following is a PBE calculation of a relaxed structure of Cs2TlCdI6, from Alexandria via LeMat-Bulk.

Results
Raw formation energy (eV/atom): -0.89

abc: 8.707 8.707 12.338
angles: 90.00 90.00 90.00
Space group I4/mmm (No. 139)
Asymmetric unit:
Cs 0.000 0.500 0.250
Tl 0.000 0.000 0.000
Cd 0.000 0.000 0.500
I 0.000 0.000 0.257
I 0.243 0.243 0.500

(4)
The following is a PBE calculation of a relaxed structure of Cs2TlCdI6, from Alexandria via LeMat-Bulk.

Results
Raw formation energy (eV/atom): -0.90

abc: 8.627 8.728 15.049
angles: 90.00 124.86 90.00
Space group P2_1/c (No. 14)
Asymmetric unit:
Cs 0.238 0.048 0.249
Tl 0.500 0.000 0.000
Cd 0.000 0.000 0.500
I 0.180 0.222 0.973
I 0.251 0.706 0.974
I 0.292 0.505 0.242

(5)
The following is a PBE calculation of a relaxed structure of CsTlCdI4, from Alexandria via LeMat-Bulk.

Results
Raw formation energy (eV/atom): -0.90

abc: 8.242 8.428 10.443
angles: 90.00 107.88 90.00
Space group P2_1/m (No. 11)
Asymmetric unit:
Cs 0.249 0.250 0.058
Tl 0.231 0.250 0.553
Cd 0.222 0.750 0.320
I 0.008 0.510 0.733
I 0.411 0.750 0.135
I 0.434 0.750 0.586

(6)
The following is a PBE calculation of a relaxed structure of CsTmCdI6, from Alexandria via LeMat-Bulk.

Results
Raw formation energy (eV/atom): -1.15

abc: 7.8144 7.8144 8.7430
angles: 90.00 90.00 120.00
Space group P312 (No. 149)
Asymmetric unit:
Cs 0.0000 0.0000 0.0000
Tm 0.3333 0.6667 0.5000
Cd 0.6667 0.3333 0.5000
I 0.0024 0.3730 0.7001

(7)
The following is a PBE calculation of a relaxed structure of Cs2TmCdI6, from Alexandria via LeMat-Bulk.

Results
Raw formation energy (eV/atom): -1.19

abc: 8.790 12.430 8.791
angles: 90.00 90.00 90.00
Space group Pmmn (No. 59, origin choice 2)
Asymmetric unit:
Cs 0.250 0.000 0.249
Tm 0.250 0.250 0.751
Cd 0.250 0.750 0.749
I 0.008 0.250 0.510
I 0.009 0.250 0.993
I 0.250 0.008 0.750

(8)
The following is a PBE calculation of a relaxed structure of Cs2UCdI6, from Alexandria via LeMat-Bulk.

Results
Raw formation energy (eV/atom): -0.98

abc: 9.595 13.012 8.779
angles: 90.00 90.00 90.00
Space group Pmmn (No. 59, origin choice 2)
Asymmetric unit:
Cs 0.250 0.035 0.243
U 0.250 0.250 0.738
Cd 0.250 0.750 0.762
I 0.026 0.250 0.986
I 0.027 0.250 0.489
I 0.250 0.015 0.738

(9)
The following is a PBE calculation of a relaxed structure of Cs2VCdI6, from Alexandria via LeMat-Bulk.

Results
Raw formation energy (eV/atom): -0.86

abc: 8.364 8.364 11.817
angles: 90.00 90.00 90.00
Space group I4/mmm (No. 139)
Asymmetric unit:
Cs 0.000 0.500 0.250
V 0.000 0.000 0.000
Cd 0.000 0.000 0.500
I 0.000 0.000 0.243
I 0.243 0.243 0.000

(10)
The following is a PBE calculation of a relaxed structure of Cs2YCdI6, from Alexandria via LeMat-Bulk.

Results
Raw formation energy (eV/atom): -1.20

abc: 8.839 8.839 12.471
angles: 90.00 90.00 90.00
Space group I4/mmm (No. 139)
Asymmetric unit:
Cs 0.000 0.500 0.250
Y 0.000 0.000 0.000
Cd 0.000 0.000 0.500
I 0.000 0.000 0.244
I 0.243 0.243 0.000

(11)
The following is a PBE calculation of a relaxed structure of CsYCdI6, from Alexandria via LeMat-Bulk.

Results
Raw formation energy (eV/atom): -1.16

abc: 7.8780 7.8780 8.6834
angles: 90.00 90.00 120.00
Space group P312 (No. 149)
Asymmetric unit:
Cs 0.0000 0.0000 0.0000
Y 0.3333 0.6667 0.5000
Cd 0.6667 0.3333 0.5000
I 0.3747 0.0010 0.7035

(12)
The following is a PBE calculation of a relaxed structure of Cs2ZnCdI6, from Alexandria via LeMat-Bulk.

Results
Raw formation energy (eV/atom): -0.89

abc: 11.854 11.854 11.854
angles: 90.00 90.00 90.00
Space group Fm-3m (No. 225)
Asymmetric unit:
Cs 0.250 0.250 0.250
Zn 0.000 0.000 0.000
Cd 0.000 0.000 0.500
I 0.000 0.000 0.244

The evaluated size of the total moment for the records listed, in turn: 0.0, 0.0, 0.0, 0.0, 0.0, 0.0, 0.0, 4.9, 6.0, 0.0, 0.0, 0.0 μB/cell.
The evaluated V for the records listed, in turn: 58.70, 56.71, 46.77, 46.49, 49.31, 51.38, 48.02, 54.80, 41.33, 48.71, 51.86, 41.64 A^3/atom.
The evaluated total energy for the records listed, in turn: -2.233, -2.276, -2.321, -2.324, -2.378, -2.873, -2.829, -3.297, -2.962, -3.040, -3.109, -2.206 eV per atom.